A plane-wave DFT calculation with PBE was carried out for a geometry-optimized Ba2CdIn structure.

```
4
Lattice="7.133 0.077 0.082 5.906 4.000 0.082 2.457 0.768 5.399" Properties=species:S:1:pos:R:3 pbc="T T T"
In 3.484 1.089 1.591
Ba 11.944 3.735 4.015
Ba 12.747 3.986 0.307
Cd 8.107 2.535 2.596
```

Values from the calculation:
- crystal system = monoclinic
- symmetry = Cm (8)
- energy relative to the elements (eV per atom) = -0.324